Entry 1:
Below is a relaxed structure of ZrWCl2, with properties calculated at the PBE level.

abc: 11.5216 11.5216 11.5216
angles: 15.17 15.17 15.17
Last column: magnetic moment on the atom in μB.
Fractional positions:
Zr 0.7500 0.7500 0.7500  0.01
W 0.2500 0.2500 0.2500  0.21
Cl 0.4722 0.4722 0.4722  0.00
Cl 0.0278 0.0278 0.0278  0.00

**Offset from the most stable computed form**: 571 meV/atom
**Energy relative to the elements, uncorrected**: 0.065 eV per atom
**Symmetry**: No. 166

***

Entry 2:
Below is a relaxed structure of K2ZnNiH6, with properties calculated at the PBE level.

abc: 5.6489 5.6488 5.6197
angles: 120.14 120.14 90.03
Fractional positions:
H 0.1942 0.8062 0.9998
H 0.1972 0.1978 0.3934
H 0.8026 0.8031 0.6061
H 0.8057 0.1946 0.9998
H 0.8050 0.8055 0.9989
H 0.1947 0.1952 0.0007
K 0.2499 0.7504 0.4998
K 0.7499 0.2504 0.4998
Ni 0.9999 0.0004 0.9998
Zn 0.4999 0.5004 0.9998

**Raw total energy**: -30.41 eV per cell
**Symmetry**: No. 139

***

Entry 3:
Below is a relaxed structure of Li3Al2InAg3, with properties calculated at the PBE level.

abc: 2.8410 7.8484 7.8484
angles: 120.00 90.00 90.00
Fractional positions:
In 0.0000 0.0000 0.0000
Li 0.5000 0.0000 0.6912
Li 0.5000 0.6912 0.0000
Li 0.5000 0.3088 0.3088
Al 0.5000 0.3333 0.6667
Al 0.5000 0.6667 0.3333
Ag 0.0000 0.6224 0.6224
Ag 0.0000 0.0000 0.3776
Ag 0.0000 0.3776 0.0000

**Symmetry**: No. 189
**Energy of formation from the pure elements**: -0.1832 eV/atom

***

Entry 4:
Below is a relaxed structure of Hf2VIn, with properties calculated at the PBE level.

abc: 4.0271 4.4439 4.4439
angles: 90.00 90.00 90.00
Last column: magnetic moment on the atom in μB.
Fractional positions:
In 0.5000 0.5000 0.5000  -0.01
V 0.5000 0.0000 0.0000  1.35
Hf 0.0000 0.0000 0.5000  -0.04
Hf 0.0000 0.5000 0.0000  -0.04

**Symmetry**: No. 123
**Energy of formation from the pure elements**: 0.0110 eV/atom

***

Entry 5:
Below is a relaxed structure of Sc2CdOs, with properties calculated at the PBE level.

abc: 2.9693 2.9693 9.6719
angles: 90.00 90.00 110.95
Fractional positions:
Sc 0.0000 0.0000 0.9636
Sc 0.5000 0.5000 0.2551
Cd 0.0000 0.0000 0.5208
Os 0.5000 0.5000 0.7605

**Symmetry**: No. 35
**Energy of formation from the pure elements**: 0.1687 eV/atom

***

Entry 6:
Below is a relaxed structure of PmAgGeO4, with properties calculated at the PBE level.

abc: 6.0783 6.5094 6.5094
angles: 70.10 62.17 62.17
Fractional positions:
O 0.7348 0.3164 0.2140
O 0.7408 0.2553 0.7553
O 0.2652 0.2860 0.1836
O 0.2486 0.2553 0.7553
O 0.7514 0.7447 0.2447
O 0.7348 0.7140 0.8164
O 0.2592 0.7447 0.2447
O 0.2652 0.6836 0.7860
Ge 0.6271 0.6229 0.1229
Ge 0.3729 0.3771 0.8771
Pm 0.0000 0.0000 0.0000
Pm 0.0000 0.5000 0.5000
Ag 0.5000 0.0000 0.5000
Ag 0.0000 0.0000 0.5000

**Energy relative to the elements, uncorrected**: -1.888 eV per atom
**Symmetry**: No. 74

***

Entry 7:
Below is a relaxed structure of BaTe2Se, with properties calculated at the PBE level.

abc: 6.5190 6.5190 6.5190
angles: 137.31 137.31 61.96
Fractional positions:
Se 0.7500 0.2500 0.5000
Te 0.0000 0.0000 0.0000
Te 0.2500 0.7500 0.5000
Ba 0.5000 0.5000 0.0000

**Energy relative to the elements, uncorrected**: -0.630 eV per atom
**Symmetry**: No. 119

***

Entry 8:
Below is a relaxed structure of AcLa2In, with properties calculated at the PBE level.

abc: 5.1848 5.1421 5.1421
angles: 90.00 90.00 90.00
Fractional positions:
La 0.0000 0.0000 0.5000
La 0.0000 0.5000 0.0000
In 0.5000 0.5000 0.5000
Ac 0.5000 0.0000 0.0000

**Offset from the most stable computed form**: 0 meV/atom
**Symmetry**: No. 123
**Energy of formation from the pure elements**: -0.2532 eV/atom

***

Entry 9:
Below is a relaxed structure of CdRe2Te, with properties calculated at the PBE level.

abc: 4.7338 4.7338 5.3851
angles: 80.89 80.89 37.53
Fractional positions:
Te 0.7500 0.7500 0.7500
Cd 0.2500 0.2500 0.2500
Re 0.5017 0.5017 0.5255
Re 0.9983 0.9983 0.9745

**Offset from the most stable computed form**: 534 meV/atom
**Energy relative to the elements, uncorrected**: 0.914 eV per atom
**Symmetry**: No. 12

***

Entry 10:
Below is a relaxed structure of LaTb4Pm2Nd, with properties calculated at the PBE level.

abc: 3.6374 6.2757 11.9527
angles: 79.69 90.00 90.00
Fractional positions:
Pm 0.0000 0.0000 0.0000
Pm 0.5000 0.0000 0.5000
Tb 0.5000 0.7498 0.2507
Tb 0.5000 0.2502 0.7493
Tb 0.0000 0.7507 0.7486
Tb 0.0000 0.2493 0.2514
La 0.5000 0.5000 0.0000
Nd 0.0000 0.5000 0.5000

**Symmetry**: No. 10
**Energy of formation from the pure elements**: 0.0151 eV/atom

***

Entry 11:
Below is a relaxed structure of PuGaTe2, with properties calculated at the PBE level.

abc: 4.4263 4.4263 8.2210
angles: 74.38 74.38 60.00
Last column: magnetic moment on the atom in μB.
Fractional positions:
Pu 0.6671 0.6671 0.9988  5.21
Te 0.0781 0.0781 0.7658  -0.11
Te 0.2586 0.2586 0.2241  -0.12
Ga 0.4962 0.4962 0.5113  -0.02

**Energy relative to the elements, uncorrected**: -0.632 eV per atom
**Symmetry**: No. 160

***

Entry 12:
Below is a relaxed structure of Tb7Nd6Dy16, with properties calculated at the PBE level.

abc: 11.1909 11.1909 11.1909
angles: 60.00 60.00 60.00
Fractional positions:
Dy 0.8733 0.8733 0.8733
Dy 0.3489 0.3489 0.9534
Dy 0.6511 0.6511 0.0466
Dy 0.1267 0.6198 0.1267
Dy 0.6511 0.0466 0.6511
Dy 0.0466 0.6511 0.6511
Dy 0.9534 0.3489 0.3489
Dy 0.8733 0.3802 0.8733
Dy 0.3802 0.8733 0.8733
Dy 0.8733 0.8733 0.3802
Dy 0.6511 0.6511 0.6511
Dy 0.3489 0.3489 0.3489
Dy 0.1267 0.1267 0.6198
Dy 0.3489 0.9534 0.3489
Dy 0.1267 0.1267 0.1267
Dy 0.6198 0.1267 0.1267
Nd 0.7281 0.2719 0.7281
Nd 0.2719 0.7281 0.2719
Nd 0.7281 0.7281 0.2719
Nd 0.2719 0.7281 0.7281
Nd 0.7281 0.2719 0.2719
Nd 0.2719 0.2719 0.7281
Tb 0.0000 0.0000 0.5000
Tb 0.5000 0.0000 0.5000
Tb 0.0000 0.5000 0.5000
Tb 0.5000 0.0000 0.0000
Tb 0.5000 0.5000 0.0000
Tb 0.0000 0.0000 0.0000
Tb 0.0000 0.5000 0.0000

**Symmetry**: No. 225
**Energy of formation from the pure elements**: 0.2350 eV/atom

***

Entry 13:
Below is a relaxed structure of MnAgBr2, with properties calculated at the PBE level.

abc: 5.0595 5.0595 5.0595
angles: 60.00 60.00 60.00
Last column: magnetic moment on the atom in μB.
Fractional positions:
Ag 0.5000 0.5000 0.5000  -0.03
Mn 0.7500 0.7500 0.7500  4.23
Br 0.0000 0.0000 0.0000  0.01
Br 0.2500 0.2500 0.2500  0.01

**Offset from the most stable computed form**: 596 meV/atom
**Energy relative to the elements, uncorrected**: 0.359 eV per atom
**Symmetry**: No. 216

***

Entry 14:
Below is a relaxed structure of NpCoP2Os, with properties calculated at the PBE level.

abc: 3.8561 3.8561 5.6993
angles: 109.77 109.77 90.00
Last column: magnetic moment on the atom in μB.
Fractional positions:
P 0.6211 0.6211 0.2421  -0.01
P 0.3789 0.3789 0.7579  -0.01
Co 0.2500 0.7500 0.5000  0.10
Os 0.7500 0.2500 0.5000  -0.03
Np 0.0000 0.0000 0.0000  3.56

**Symmetry**: No. 119
**Energy of formation from the pure elements**: -0.5897 eV/atom

***

Entry 15:
Below is a relaxed structure of CeY2Th4, with properties calculated at the PBE level.

abc: 5.5825 5.5825 9.1757
angles: 107.71 107.71 90.00
Fractional positions:
Y 0.3797 0.3797 0.7595
Y 0.6203 0.6203 0.2405
Th 0.5000 0.0000 0.0000
Th 0.0000 0.5000 0.0000
Th 0.1749 0.1749 0.3498
Th 0.8251 0.8251 0.6502
Ce 0.0000 0.0000 0.0000

**Offset from the most stable computed form**: 676 meV/atom
**Symmetry**: No. 139
**Energy of formation from the pure elements**: 0.7521 eV/atom

***

Entry 16:
Below is a relaxed structure of Cu3RuO, with properties calculated at the PBE level.

abc: 4.5959 4.5959 4.5959
angles: 90.00 90.00 90.00
Last column: magnetic moment on the atom in μB.
Fractional positions:
Cu 0.0000 0.0000 0.5000  0.35
Cu 0.5000 0.0000 0.0000  0.07
Cu 0.0000 0.5000 0.0000  0.17
Ru 0.0000 0.0000 0.0000  1.27
O 0.5000 0.5000 0.5000  -0.15

**Offset from the most stable computed form**: 1427 meV/atom
**Energy relative to the elements, uncorrected**: 1.775 eV per atom
**Symmetry**: No. 221

***

Entry 17:
Below is a relaxed structure of Pm6Sm4Dy, with properties calculated at the PBE level.

abc: 9.8825 9.8825 9.8825
angles: 56.94 140.60 140.60
Fractional positions:
Sm 0.3764 0.3646 0.3646
Sm 0.0000 0.0118 0.6354
Sm 0.0000 0.6354 0.0118
Sm 0.6236 0.9882 0.9882
Pm 0.0000 0.4515 0.8075
Pm 0.5000 0.0000 0.5000
Pm 0.6441 0.1925 0.1925
Pm 0.0000 0.8075 0.4515
Pm 0.3559 0.5485 0.5485
Pm 0.5000 0.5000 0.0000
Dy 0.0000 0.0000 0.0000

**Offset from the most stable computed form**: 0 meV/atom
**Symmetry**: No. 121
**Energy of formation from the pure elements**: 0.2858 eV/atom

***

Entry 18:
Below is a relaxed structure of Ce4Pm2In3, with properties calculated at the PBE level.

abc: 5.3415 6.3391 9.8682
angles: 123.49 90.00 114.92
Last column: magnetic moment on the atom in μB.
Fractional positions:
In 0.3268 0.6537 0.3354  -0.01
In 0.6732 0.3463 0.6646  -0.01
In 0.0000 0.0000 0.0000  -0.01
Pm 0.3877 0.7754 0.7290  0.06
Pm 0.6123 0.2246 0.2710  0.06
Ce 0.9673 0.9345 0.6080  0.31
Ce 0.7406 0.4811 0.0543  0.61
Ce 0.2594 0.5189 0.9457  0.61
Ce 0.0327 0.0655 0.3920  0.31

**Symmetry**: No. 12
**Energy of formation from the pure elements**: -0.1930 eV/atom

***

Entry 19:
Below is a relaxed structure of CeBBr, with properties calculated at the PBE level.

abc: 3.7633 3.3291 10.7940
angles: 90.04 100.56 90.00
Last column: magnetic moment on the atom in μB.
Fractional positions:
Ce 0.2062 0.7913 0.9152  0.57
Ce 0.0386 0.2909 0.5970  0.57
Br 0.7978 0.2917 0.0895  -0.01
Br 0.4470 0.7908 0.4228  -0.01
B 0.6137 0.7910 0.7392  0.00
B 0.6312 0.2910 0.7731  0.00

**Offset from the most stable computed form**: 0 meV/atom
**Energy relative to the elements, uncorrected**: -0.966 eV per atom
**Symmetry**: No. 11

***

Entry 20:
Below is a relaxed structure of PmGdY, with properties calculated at the PBE level.

abc: 3.6175 3.6175 8.0158
angles: 103.04 103.04 90.00
Last column: magnetic moment on the atom in μB.
Fractional positions:
Pm 0.6171 0.6171 0.2342  -0.06
Gd 0.9501 0.9501 0.9002  7.23
Y 0.2828 0.2828 0.5656  -0.05

**Symmetry**: No. 107
**Energy of formation from the pure elements**: 0.0191 eV/atom